1.
## CeAlReSi2 (PBE)

Data for a relaxed CeAlReSi2 crystal.

Summary:
* raw formation energy: -0.4865 eV per atom
* calculated total energy: -35.403 eV for the cell shown

The structure in extended XYZ format:
```
5
Lattice="-1.988 1.988 5.483 1.988 -1.988 5.483 1.988 1.988 -5.483" Properties=species:S:1:pos:R:3 pbc="T T T"
Ce 0.000 0.000 0.000
Al 0.000 1.988 2.741
Re 1.988 0.000 2.741
Si 0.000 0.000 4.270
Si 0.000 0.000 6.696
```



2.
## Ac3Pm3Tl2Hg (PBE)

Data for a relaxed Ac3Pm3Tl2Hg crystal.

Summary:
* calculated total energy: -33.725 eV for the cell shown
* calculated formation energy: -2.114 eV per formula unit

The structure in extended XYZ format:
```
9
Lattice="9.473 0.000 0.000 -4.737 8.204 0.000 0.000 0.000 3.978" Properties=species:S:1:pos:R:3 pbc="T T T"
Ac -3.434 5.948 0.000
Ac 1.303 2.256 0.000
Ac 6.868 0.000 0.000
Pm -1.875 3.248 1.989
Pm 3.751 0.000 1.989
Pm 2.861 4.956 1.989
Tl 0.000 5.470 0.000
Tl 4.737 2.735 0.000
Hg 0.000 0.000 1.989
```



3.
## Rb2ZnHg3 (PBE)

Data for a relaxed Rb2ZnHg3 crystal.

Summary:
* calculated total energy: -10.029 eV for the cell shown
* calculated formation energy: -0.900 eV per formula unit

The structure in extended XYZ format:
```
12
Lattice="0.000 5.107 8.940 4.856 0.000 8.940 4.856 5.107 0.000" Properties=species:S:1:pos:R:3 pbc="T T T"
Rb 7.388 5.107 8.940
Rb 2.428 2.554 4.470
Rb 7.284 7.661 13.409
Rb 2.323 5.107 8.940
Zn 4.856 5.107 5.941
Zn 4.856 5.107 11.938
Hg 4.856 5.107 3.104
Hg 4.856 2.691 7.402
Hg 4.856 2.691 10.477
Hg 4.856 7.523 7.402
Hg 4.856 7.523 10.477
Hg 4.856 5.107 14.775
```



4.
## PmHo2Nb (PBE)

Data for a relaxed PmHo2Nb crystal.

Summary:
* calculated total energy: -21.797 eV for the cell shown
* calculated formation energy: 2.178 eV per formula unit

The structure in extended XYZ format:
```
4
Lattice="1.653 0.954 11.701 -1.653 0.954 11.701 0.000 -1.909 11.701" Properties=species:S:1:pos:R:3 pbc="T T T"
Pm 0.000 0.000 0.000
Ho 0.000 0.000 14.663
Ho 0.000 0.000 20.440
Nb 0.000 0.000 17.552
```



5.
## CuSnOs2S (PBE)

Data for a relaxed CuSnOs2S crystal.

Summary:
* raw formation energy: 2.3106 eV per atom
* calculated total energy: -23.133 eV for the cell shown

The structure in extended XYZ format:
```
5
Lattice="4.948 0.000 0.000 0.000 4.948 0.000 0.000 0.000 4.671" Properties=species:S:1:pos:R:3 pbc="T T T"
Cu 0.000 0.000 0.000
Sn 0.000 0.000 2.335
Os 0.000 2.474 2.335
Os 2.474 0.000 2.335
S 2.474 2.474 0.000
```



6.
## SrTaFe (PBE)

Data for a relaxed SrTaFe crystal.

Summary:
* excess energy over the best structure of this formula in the dataset: 1.865 eV/atom
* calculated total energy: -14.967 eV for the cell shown
* calculated formation energy: 7.031 eV per formula unit

The structure in extended XYZ format:
```
3
Lattice="0.000 3.375 3.375 3.375 0.000 3.375 3.375 3.375 0.000" Properties=species:S:1:pos:R:3 pbc="T T T"
Sr 0.000 0.000 0.000
Ta 5.063 5.063 5.063
Fe 1.688 1.688 1.688
```



7.
## ZnNi2Rh (PBE)

Data for a relaxed ZnNi2Rh crystal.

Summary:
* calculated total energy: -20.310 eV for the cell shown
* calculated formation energy: -0.122 eV per formula unit

The structure in extended XYZ format:
```
4
Lattice="1.327 0.766 8.276 -1.327 0.766 8.276 0.000 -1.533 8.276" Properties=species:S:1:pos:R:3 pbc="T T T"
Zn 0.000 0.000 0.000
Ni 0.000 0.000 12.262
Ni 0.000 0.000 18.578
Rh 0.000 0.000 6.084
```



8.
## DyGe3Rh3 (PBE)

Data for a relaxed DyGe3Rh3 crystal.

Summary:
* excess energy over the best structure of this formula in the dataset: 0.000 eV/atom
* calculated total energy: -88.587 eV for the cell shown
* calculated formation energy: -3.785 eV per formula unit

The structure in extended XYZ format:
```
14
Lattice="3.446 1.990 6.518 -3.446 1.990 6.518 0.000 -3.979 6.518" Properties=species:S:1:pos:R:3 pbc="T T T"
Dy 0.000 0.000 3.304
Dy 0.000 0.000 16.251
Ge -1.899 0.161 8.049
Ge -1.089 -1.564 11.506
Ge 0.810 -1.725 8.049
Ge -0.810 1.725 11.506
Ge 1.089 1.564 8.049
Ge 1.899 -0.161 11.506
Rh -1.968 0.151 5.548
Rh 0.853 -1.780 5.548
Rh -1.115 -1.628 14.007
Rh 1.115 1.628 5.548
Rh -0.853 1.780 14.007
Rh 1.968 -0.151 14.007
```



9.
## EuGdMgRu (PBE)

Data for a relaxed EuGdMgRu crystal.

Summary:
* calculated total energy: -35.252 eV for the cell shown
* calculated formation energy: -0.026 eV per formula unit

The structure in extended XYZ format:
```
4
Lattice="0.000 3.615 3.615 3.615 0.000 3.615 3.615 3.615 0.000" Properties=species:S:1:pos:R:3 pbc="T T T"
Eu 0.000 0.000 0.000
Gd 3.615 3.615 3.615
Mg 5.423 5.423 5.423
Ru 1.808 1.808 1.808
```



10.
## BaCa2Ta (PBE)

Data for a relaxed BaCa2Ta crystal.

Summary:
* excess energy over the best structure of this formula in the dataset: 0.229 eV/atom
* calculated total energy: -14.240 eV for the cell shown
* calculated formation energy: 3.538 eV per formula unit

The structure in extended XYZ format:
```
4
Lattice="3.521 -5.403 0.000 3.521 5.403 0.000 0.000 0.000 3.329" Properties=species:S:1:pos:R:3 pbc="T T T"
Ba 0.000 0.000 0.000
Ca 1.761 2.702 1.665
Ca 1.761 -2.702 1.665
Ta 3.521 0.000 0.000
```



11.
## SiPRu (PBE)

Data for a relaxed SiPRu crystal.

Summary:
* raw formation energy: -0.2298 eV per atom
* calculated total energy: -62.394 eV for the cell shown

The structure in extended XYZ format:
```
9
Lattice="6.869 0.000 0.000 -3.435 5.949 0.000 0.000 0.000 2.967" Properties=species:S:1:pos:R:3 pbc="T T T"
Si -2.129 3.687 0.000
Si 1.306 2.262 0.000
Si 4.258 0.000 0.000
P -0.979 1.696 1.484
P 1.959 0.000 1.484
P 2.455 4.253 1.484
Ru 0.000 0.000 0.000
Ru 0.000 3.966 1.484
Ru 3.435 1.983 1.484
```



12.
## CsBa2SrAu (PBE)

Data for a relaxed CsBa2SrAu crystal.

Summary:
* excess energy over the best structure of this formula in the dataset: 0.109 eV/atom
* calculated total energy: -10.430 eV for the cell shown
* calculated formation energy: -0.772 eV per formula unit

The structure in extended XYZ format:
```
5
Lattice="6.550 0.000 0.000 0.000 6.550 0.000 0.000 0.000 6.985" Properties=species:S:1:pos:R:3 pbc="T T T"
Cs 0.000 0.000 0.000
Ba 0.000 3.275 3.493
Ba 3.275 0.000 3.493
Sr 3.275 3.275 0.000
Au 0.000 0.000 3.493
```